DFT (GGA-PBE) results for crystalline CsTiRh2W at its relaxed geometry. Values from VASP.

Quantum ESPRESSO input file:
```
&SYSTEM
  ibrav = 0, nat = 5, ntyp = 4
/
ATOMIC_SPECIES
Cs 132.91 Cs.upf
Ti 47.87 Ti.upf
Rh 102.91 Rh.upf
W 183.84 W.upf
CELL_PARAMETERS angstrom
4.578 0.000 0.000
0.000 4.578 0.000
0.000 0.000 5.182
ATOMIC_POSITIONS crystal
Cs 0.000 0.000 0.000
Ti 0.000 0.000 0.500
Rh 0.000 0.500 0.500
Rh 0.500 0.000 0.500
W 0.500 0.500 0.000
```

Computed properties:
- E_form: 9.8 eV per formula unit